Entry 1:
The following is a PBE-GGA calculation of LiDyYSn after structural relaxation, from Alexandria.

Lattice parameters (Å, degrees): 5.216 5.216 5.216 60.00 60.00 60.00
Fractional positions:
Li 0.250 0.250 0.250
Dy 0.500 0.500 0.500
Y 0.000 0.000 0.000
Sn 0.750 0.750 0.750

Computed properties:
DFT total energy = -4.6773 eV/atom
Formation energy from the elements = -0.4316 eV per atom
N(E_F) = 0.732 states/eV per atom

Entry 2:
The following is a PBE-GGA calculation of LiDyZrSn after structural relaxation, from Alexandria.

Lattice parameters (Å, degrees): 5.045 5.045 5.045 60.00 60.00 60.00
Fractional positions:
Li 0.000 0.000 0.000
Dy 0.750 0.750 0.750
Sn 0.500 0.500 0.500
Zr 0.250 0.250 0.250

Computed properties:
DFT total energy = -5.0385 eV/atom
Formation energy from the elements = -0.2718 eV per atom
N(E_F) = 0.871 states/eV per atom

Entry 3:
The following is a PBE-GGA calculation of Sr2LiDy after structural relaxation, from Alexandria.

Lattice parameters (Å, degrees): 4.254 4.254 8.621 90.00 90.00 90.00
Fractional positions:
Sr 0.000 0.000 0.238
Sr 0.000 0.000 0.762
Dy 0.500 0.500 0.500
Li 0.500 0.500 0.000

Computed properties:
DFT total energy = -2.3039 eV/atom
Formation energy from the elements = 0.1660 eV per atom
N(E_F) = 0.768 states/eV per atom
Energy relative to the lowest polymorph listed for this composition = 0 meV per atom

Entry 4:
The following is a PBE-GGA calculation of Sr2LiDy after structural relaxation, from Alexandria.

Lattice parameters (Å, degrees): 3.766 3.766 13.135 81.76 81.76 60.00
Site moments in Bohr magnetons follow the coordinates.
Fractional positions:
Sr 0.091 0.091 0.728  0.01
Sr 0.909 0.909 0.272  0.01
Li 0.500 0.500 0.500  0.00
Dy 0.000 0.000 0.000  0.30

Computed properties:
DFT total energy = -2.1111 eV/atom
Formation energy from the elements = 0.3588 eV per atom
N(E_F) = 1.087 states/eV per atom
Energy relative to the lowest polymorph listed for this composition = 193 meV per atom